Record 1
## RbPdBr3 (GGA-PBE)

Data for a relaxed structure of RbPdBr3.

Lattice parameters (Å, degrees): 5.281 5.281 5.281 90.01 90.00 90.02
Fractional coordinates of all 5 atoms:
Br (0.000, 0.512, 0.502)
Br (0.500, 0.012, 0.502)
Br (0.500, 0.512, 0.002)
Rb (0.000, 0.012, 0.002)
Pd (0.500, 0.512, 0.502)

Output
uncorrected energy = -3.122 eV/atom
space-group type = No. 221

=====

Record 2
## La3Sm2DyP6 (GGA-PBE)

Data for a relaxed structure of La3Sm2DyP6.

Lattice parameters (Å, degrees): 7.231 7.231 7.234 99.59 99.59 120.00
Fractional coordinates of all 12 atoms:
La (0.167, 0.833, 0.500)
La (0.833, 0.167, 0.500)
La (0.500, 0.500, 0.500)
Sm (0.334, 0.666, 0.000)
Sm (0.666, 0.334, 0.000)
Dy (0.000, 0.000, 0.000)
P (0.920, 0.590, 0.760)
P (0.750, 0.750, 0.241)
P (0.080, 0.410, 0.240)
P (0.590, 0.920, 0.760)
P (0.250, 0.250, 0.759)
P (0.410, 0.080, 0.240)

Output
uncorrected energy = -6.679 eV/atom
space-group type = No. 12
DFT formation energy = -1.572 eV per atom

=====

Record 3
## V2CdInBr (GGA-PBE)

Data for a relaxed structure of V2CdInBr.

Lattice parameters (Å, degrees): 4.685 5.669 4.685 90.00 90.00 90.00
Site moments in Bohr magnetons follow the coordinates.
Fractional coordinates of all 5 atoms:
V (0.000, 0.000, 0.500)  2.14
V (0.500, 0.000, 0.000)  2.00
Cd (0.500, 0.500, 0.500)  -0.04
Br (0.000, 0.000, 0.000)  -0.01
In (0.000, 0.500, 0.000)  -0.01

Output
uncorrected energy = -3.743 eV/atom
space-group type = No. 123

=====

Record 4
## Ce2PuPt (GGA-PBE)

Data for a relaxed structure of Ce2PuPt.

Lattice parameters (Å, degrees): 5.099 5.099 5.099 60.00 60.00 60.00
Site moments in Bohr magnetons follow the coordinates.
Fractional coordinates of all 4 atoms:
Ce (0.250, 0.250, 0.250)  0.92
Ce (0.750, 0.750, 0.750)  0.92
Pt (0.500, 0.500, 0.500)  -0.02
Pu (0.000, 0.000, 0.000)  5.74

Output
uncorrected energy = -8.450 eV/atom
energy above the most stable polymorph in this dataset = 0.188 eV per atom
space-group type = No. 225
DFT formation energy = -0.390 eV per atom

=====

Record 5
## ScHg2Ir (GGA-PBE)

Data for a relaxed structure of ScHg2Ir.

Lattice parameters (Å, degrees): 8.131 8.131 6.338 50.10 50.10 90.00
Fractional coordinates of all 8 atoms:
Sc (0.500, 0.500, 0.000)
Sc (0.250, 0.750, 0.500)
Ir (0.000, 0.000, 0.000)
Ir (0.750, 0.250, 0.500)
Hg (0.667, 0.125, 0.250)
Hg (0.083, 0.625, 0.250)
Hg (0.375, 0.333, 0.750)
Hg (0.875, 0.917, 0.750)

Output
uncorrected energy = -3.794 eV/atom
energy above the most stable polymorph in this dataset = 0.437 eV per atom
space-group type = No. 122
DFT formation energy = 0.155 eV per atom

=====

Record 6
## Pr2Ga3Au5 (GGA-PBE)

Data for a relaxed structure of Pr2Ga3Au5.

Lattice parameters (Å, degrees): 6.267 8.866 8.866 75.98 69.30 69.30
Fractional coordinates of all 20 atoms:
Pr (0.133, 0.597, 0.136)
Pr (0.633, 0.136, 0.597)
Pr (0.867, 0.403, 0.864)
Pr (0.367, 0.864, 0.403)
Ga (0.366, 0.517, 0.751)
Ga (0.866, 0.751, 0.517)
Ga (0.634, 0.483, 0.249)
Ga (0.134, 0.249, 0.483)
Ga (0.250, 0.000, 0.000)
Ga (0.750, 0.000, 0.000)
Au (0.399, 0.258, 0.944)
Au (0.899, 0.944, 0.258)
Au (0.601, 0.742, 0.056)
Au (0.101, 0.056, 0.742)
Au (0.484, 0.766, 0.766)
Au (0.516, 0.234, 0.234)
Au (0.750, 0.500, 0.500)
Au (0.250, 0.500, 0.500)
Au (0.016, 0.234, 0.234)
Au (0.984, 0.766, 0.766)

Output
uncorrected energy = -4.118 eV/atom
energy above the most stable polymorph in this dataset = 0.000 eV per atom
space-group type = No. 72
DFT formation energy = -0.615 eV per atom

=====

Record 7
## LaAlOF2 (GGA-PBE)

Data for a relaxed structure of LaAlOF2.

Lattice parameters (Å, degrees): 4.508 4.508 3.538 90.00 90.00 90.00
Fractional coordinates of all 5 atoms:
F (0.000, 0.500, 0.000)
F (0.500, 0.000, 0.000)
Al (0.000, 0.000, 0.000)
O (0.000, 0.000, 0.500)
La (0.500, 0.500, 0.500)

Output
uncorrected energy = -5.888 eV/atom
energy above the most stable polymorph in this dataset = 0.078 eV per atom
space-group type = No. 123

=====

Record 8
## GaCo2Pd (GGA-PBE)

Data for a relaxed structure of GaCo2Pd.

Lattice parameters (Å, degrees): 3.538 3.538 9.400 79.15 79.15 90.00
Site moments in Bohr magnetons follow the coordinates.
Fractional coordinates of all 8 atoms:
Co (0.591, 0.125, 0.250)  1.69
Co (0.159, 0.625, 0.250)  1.69
Co (0.375, 0.409, 0.750)  1.73
Co (0.875, 0.841, 0.750)  1.73
Ga (0.500, 0.500, 0.000)  -0.03
Ga (0.250, 0.750, 0.500)  -0.03
Pd (0.000, 0.000, 0.000)  0.05
Pd (0.750, 0.250, 0.500)  0.05

Output
uncorrected energy = -5.451 eV/atom
space-group type = No. 122
DFT formation energy = 0.157 eV per atom